(A)
{
  "formula": "La2Tb3Nd7",
  "functional": "GGA-PBE",
  "state": "optimized geometry",
  "lattice_angstrom": [[6.533, 0.000, 0.000], [0.000, 3.603, 0.000], [-1.850, 0.000, 17.807]],
  "species": ["La", "La", "Tb", "Tb", "Tb", "Nd", "Nd", "Nd", "Nd", "Nd", "Nd", "Nd"],
  "frac_coords": [[0.060, 0.000, 0.170], [0.940, 0.000, 0.830], [0.454, 0.500, 0.841], [0.500, 0.000, 0.500], [0.546, 0.500, 0.159], [0.000, 0.500, 0.500], [0.228, 0.000, 0.668], [0.258, 0.000, 0.996], [0.279, 0.500, 0.336], [0.721, 0.500, 0.664], [0.742, 0.000, 0.004], [0.772, 0.000, 0.332]]
}



(B)
{
  "formula": "La2Tb3Nd7",
  "functional": "GGA-PBE",
  "state": "optimized geometry",
  "lattice_angstrom": [[2.947, -19.478, 0.000], [2.947, 19.478, 0.000], [0.000, 0.000, 3.677]],
  "species": ["La", "La", "Tb", "Tb", "Tb", "Nd", "Nd", "Nd", "Nd", "Nd", "Nd", "Nd"],
  "frac_coords": [[0.149, 0.851, 0.000], [0.851, 0.149, 0.000], [0.314, 0.686, 0.500], [0.500, 0.500, 0.500], [0.686, 0.314, 0.500], [0.000, 0.000, 0.000], [0.072, 0.928, 0.500], [0.231, 0.769, 0.000], [0.410, 0.590, 0.000], [0.590, 0.410, 0.000], [0.769, 0.231, 0.000], [0.928, 0.072, 0.500]]
}



Most stable pick: (A). Distance to second place: 47 meV per atom.



(A)
{
  "formula": "La3Tb3Nd",
  "functional": "GGA-PBE",
  "state": "optimized geometry",
  "lattice_angstrom": [[4.773, 2.756, 6.308], [-4.773, 2.756, 6.308], [0.000, -5.512, 6.308]],
  "species": ["La", "La", "La", "La", "La", "La", "Tb", "Tb", "Tb", "Tb", "Tb", "Tb", "Nd", "Nd"],
  "frac_coords": [[0.127, 0.270, 0.836], [0.164, 0.873, 0.730], [0.270, 0.836, 0.127], [0.730, 0.164, 0.873], [0.836, 0.127, 0.270], [0.873, 0.730, 0.164], [0.025, 0.310, 0.446], [0.310, 0.446, 0.025], [0.446, 0.025, 0.310], [0.554, 0.975, 0.690], [0.690, 0.554, 0.975], [0.975, 0.690, 0.554], [0.409, 0.409, 0.409], [0.591, 0.591, 0.591]]
}



(B)
{
  "formula": "La3Tb3Nd",
  "functional": "GGA-PBE",
  "state": "optimized geometry",
  "lattice_angstrom": [[9.826, 0.000, 0.000], [-4.913, 8.509, 0.000], [0.000, 0.000, 5.878]],
  "species": ["La", "La", "La", "La", "La", "La", "Tb", "Tb", "Tb", "Tb", "Tb", "Tb", "Nd", "Nd"],
  "frac_coords": [[0.097, 0.473, 0.250], [0.376, 0.903, 0.250], [0.473, 0.376, 0.750], [0.527, 0.624, 0.250], [0.624, 0.097, 0.750], [0.903, 0.527, 0.750], [0.046, 0.231, 0.750], [0.185, 0.954, 0.750], [0.231, 0.185, 0.250], [0.769, 0.815, 0.750], [0.815, 0.046, 0.250], [0.954, 0.769, 0.250], [0.333, 0.667, 0.750], [0.667, 0.333, 0.250]]
}



Most stable pick: (B). Distance to second place: 90 meV per atom.



(A)
{
  "formula": "LaTb4Nd6",
  "functional": "GGA-PBE",
  "state": "optimized geometry",
  "lattice_angstrom": [[-3.295, 3.295, 8.898], [3.295, -3.295, 8.898], [3.295, 3.295, -8.898]],
  "species": ["La", "Tb", "Tb", "Tb", "Tb", "Nd", "Nd", "Nd", "Nd", "Nd", "Nd"],
  "frac_coords": [[0.000, 0.000, 0.000], [0.007, 0.007, 0.375], [0.368, 0.993, 0.000], [0.632, 0.632, 0.625], [0.993, 0.368, 0.000], [0.000, 0.500, 0.500], [0.187, 0.547, 0.000], [0.453, 0.453, 0.639], [0.500, 0.000, 0.500], [0.547, 0.187, 0.000], [0.813, 0.813, 0.361]]
}



(B)
{
  "formula": "LaTb4Nd6",
  "functional": "GGA-PBE",
  "state": "optimized geometry",
  "lattice_angstrom": [[11.189, 0.000, 0.000], [-5.595, 9.690, 0.000], [0.000, 0.000, 3.614]],
  "species": ["La", "Tb", "Tb", "Tb", "Tb", "Nd", "Nd", "Nd", "Nd", "Nd", "Nd"],
  "frac_coords": [[0.000, 0.000, 0.000], [0.326, 0.163, 0.500], [0.333, 0.667, 0.000], [0.837, 0.163, 0.500], [0.837, 0.674, 0.500], [0.183, 0.366, 0.500], [0.183, 0.817, 0.500], [0.522, 0.045, 0.000], [0.522, 0.478, 0.000], [0.634, 0.817, 0.500], [0.955, 0.478, 0.000]]
}



Most stable pick: (B). Distance to second place: 142 meV per atom.